1 | Material: VSnSbI2
Method: DFT, PBE
State: optimized geometry

a b c (Å): 5.916 5.916 5.922
angles (deg): 90.00 90.00 90.00
Atoms (fractional coordinates):
I: 0.500 0.000 0.000
I: 0.000 0.500 0.000
V: 0.500 0.500 0.500
Sn: 0.000 0.000 0.000
Sb: 0.000 0.000 0.500

* magnetic moment: 2.655 μB per formula unit
* SG: P4/mmm

=====

2 | Material: VSnSbI2
Method: DFT, PBE
State: optimized geometry

a b c (Å): 5.423 5.423 5.469
angles (deg): 90.00 90.00 90.00
Atoms (fractional coordinates):
I: 0.000 0.500 0.000
I: 0.500 0.000 0.000
V: 0.000 0.000 0.000
Sn: 0.500 0.500 0.500
Sb: 0.000 0.000 0.500

* magnetic moment: 2.303 μB per formula unit
* SG: P4/mmm

=====

Bottom line: 2, by a margin of 0.571 eV/atom.

=====

1 | Material: SnSb2WI
Method: DFT, PBE
State: optimized geometry

a b c (Å): 5.209 5.209 5.866
angles (deg): 90.00 90.00 90.00
Atoms (fractional coordinates):
Sn: 0.500 0.500 0.500
Sb: 0.500 0.000 0.000
Sb: 0.000 0.500 0.000
W: 0.000 0.000 0.000
I: 0.000 0.000 0.500

* magnetic moment: 1.038 μB per formula unit
* SG: P4/mmm

=====

2 | Material: SnSb2WI
Method: DFT, PBE
State: optimized geometry

a b c (Å): 5.652 5.652 5.703
angles (deg): 90.00 90.00 90.00
Atoms (fractional coordinates):
Sb: 0.500 0.000 0.000
Sb: 0.000 0.500 0.000
I: 0.000 0.000 0.500
Sn: 0.000 0.000 0.000
W: 0.500 0.500 0.500

* magnetic moment: 3.474 μB per formula unit
* SG: P4/mmm

=====

Bottom line: 1, by a margin of 0.999 eV/atom.

=====

1 | Material: YSnSb2I
Method: DFT, PBE
State: optimized geometry

a b c (Å): 5.879 5.879 5.792
angles (deg): 90.00 90.00 90.00
Atoms (fractional coordinates):
I: 0.000 0.000 0.500
Sn: 0.500 0.500 0.500
Y: 0.000 0.000 0.000
Sb: 0.000 0.500 0.000
Sb: 0.500 0.000 0.000

* magnetic moment: 0.000 μB per formula unit
* SG: P4/mmm

=====

2 | Material: YSnSb2I
Method: DFT, PBE
State: optimized geometry

a b c (Å): 5.621 5.621 5.764
angles (deg): 90.00 90.00 90.00
Atoms (fractional coordinates):
Sb: 0.500 0.000 0.000
Sb: 0.000 0.500 0.000
I: 0.000 0.000 0.500
Sn: 0.000 0.000 0.000
Y: 0.500 0.500 0.500

* magnetic moment: 0.000 μB per formula unit
* SG: P4/mmm

=====

Bottom line: 1, by a margin of 0.170 eV/atom.

=====

1 | Material: YSnSbI2
Method: DFT, PBE
State: optimized geometry

a b c (Å): 5.812 5.812 6.177
angles (deg): 90.00 90.00 90.00
Atoms (fractional coordinates):
I: 0.500 0.000 0.000
I: 0.000 0.500 0.000
Sn: 0.500 0.500 0.500
Sb: 0.000 0.000 0.500
Y: 0.000 0.000 0.000

* magnetic moment: 0.098 μB per formula unit
* SG: P4/mmm

=====

2 | Material: YSnSbI2
Method: DFT, PBE
State: optimized geometry

a b c (Å): 5.775 5.775 5.917
angles (deg): 90.00 90.00 90.00
Atoms (fractional coordinates):
Y: 0.500 0.500 0.500
I: 0.500 0.000 0.000
I: 0.000 0.500 0.000
Sb: 0.000 0.000 0.500
Sn: 0.000 0.000 0.000

* magnetic moment: 0.325 μB per formula unit
* SG: P4/mmm

=====

Bottom line: 1, by a margin of 0.381 eV/atom.

=====

1 | Material: ZrSnSbI2
Method: DFT, PBE
State: optimized geometry

a b c (Å): 5.770 5.770 5.842
angles (deg): 90.00 90.00 90.00
Atoms (fractional coordinates):
Zr: 0.500 0.500 0.500
I: 0.500 0.000 0.000
I: 0.000 0.500 0.000
Sn: 0.000 0.000 0.000
Sb: 0.000 0.000 0.500

* magnetic moment: 1.471 μB per formula unit
* SG: P4/mmm

=====

2 | Material: ZrSnSbI2
Method: DFT, PBE
State: optimized geometry

a b c (Å): 5.608 5.608 5.834
angles (deg): 90.00 90.00 90.00
Atoms (fractional coordinates):
Zr: 0.000 0.000 0.000
I: 0.000 0.500 0.000
I: 0.500 0.000 0.000
Sb: 0.000 0.000 0.500
Sn: 0.500 0.500 0.500

* magnetic moment: 0.391 μB per formula unit
* SG: P4/mmm

=====

Bottom line: 2, by a margin of 0.683 eV/atom.

=====

1 | Material: SrTaSbI2
Method: DFT, PBE
State: optimized geometry

a b c (Å): 5.659 5.659 5.487
angles (deg): 90.00 90.00 90.00
Atoms (fractional coordinates):
Ta: 0.000 0.000 0.000
Sb: 0.000 0.000 0.500
Sr: 0.500 0.500 0.500
I: 0.500 0.000 0.000
I: 0.000 0.500 0.000

* magnetic moment: 1.195 μB per formula unit
* SG: P4/mmm

=====

2 | Material: SrTaSbI2
Method: DFT, PBE
State: optimized geometry

a b c (Å): 6.058 6.058 6.576
angles (deg): 90.00 90.00 90.00
Atoms (fractional coordinates):
Sb: 0.000 0.000 0.500
Sr: 0.000 0.000 0.000
I: 0.500 0.000 0.000
I: 0.000 0.500 0.000
Ta: 0.500 0.500 0.500

* magnetic moment: 1.989 μB per formula unit
* SG: P4/mmm

=====

Bottom line: 1, by a margin of 1.056 eV/atom.

=====

1 | Material: SrTcSb2I
Method: DFT, PBE
State: optimized geometry

a b c (Å): 6.017 6.017 5.947
angles (deg): 90.00 90.00 90.00
Atoms (fractional coordinates):
I: 0.000 0.000 0.500
Sb: 0.000 0.500 0.000
Sb: 0.500 0.000 0.000
Tc: 0.500 0.500 0.500
Sr: 0.000 0.000 0.000

* magnetic moment: 0.454 μB per formula unit
* SG: P4/mmm

=====

2 | Material: SrTcSb2I
Method: DFT, PBE
State: optimized geometry

a b c (Å): 5.139 5.139 5.982
angles (deg): 90.00 90.00 90.00
Atoms (fractional coordinates):
Tc: 0.000 0.000 0.000
I: 0.000 0.000 0.500
Sb: 0.000 0.500 0.000
Sb: 0.500 0.000 0.000
Sr: 0.500 0.500 0.500

* magnetic moment: 0.000 μB per formula unit
* SG: P4/mmm

=====

Bottom line: 2, by a margin of 1.741 eV/atom.

=====

1 | Material: SrSb2TeI
Method: DFT, PBE
State: optimized geometry

a b c (Å): 5.771 5.771 6.093
angles (deg): 90.00 90.00 90.00
Atoms (fractional coordinates):
Sb: 0.000 0.500 0.000
Sb: 0.500 0.000 0.000
Sr: 0.500 0.500 0.500
Te: 0.000 0.000 0.000
I: 0.000 0.000 0.500

* magnetic moment: 0.000 μB per formula unit
* SG: P4/mmm

=====

2 | Material: SrSb2TeI
Method: DFT, PBE
State: optimized geometry

a b c (Å): 5.820 5.820 5.883
angles (deg): 90.00 90.00 90.00
Atoms (fractional coordinates):
Te: 0.000 0.000 0.500
I: 0.000 0.000 0.000
Sb: 0.000 0.500 0.000
Sb: 0.500 0.000 0.000
Sr: 0.500 0.500 0.500

* magnetic moment: 0.000 μB per formula unit
* SG: P4/mmm

=====

3 | Material: SrSb2TeI
Method: DFT, PBE
State: optimized geometry

a b c (Å): 6.325 5.913 6.325
angles (deg): 90.00 90.00 90.00
Atoms (fractional coordinates):
I: 0.000 0.500 0.000
Te: 0.500 0.500 0.500
Sr: 0.000 0.000 0.000
Sb: 0.000 0.000 0.500
Sb: 0.500 0.000 0.000

* magnetic moment: 0.683 μB per formula unit
* SG: P4/mmm

=====

4 | Material: SrSb2TeI
Method: DFT, PBE
State: optimized geometry

a b c (Å): 6.242 6.242 5.955
angles (deg): 90.00 90.00 90.00
Atoms (fractional coordinates):
Sb: 0.500 0.000 0.000
Sb: 0.000 0.500 0.000
Te: 0.000 0.000 0.500
I: 0.500 0.500 0.500
Sr: 0.000 0.000 0.000

* magnetic moment: 0.000 μB per formula unit
* SG: P4/mmm

=====

Bottom line: 1, by a margin of 0.245 eV/atom.